Entry 1:
! SrNdBr2 | the Alexandria database | PBE | relaxed; values from VASP
! E_form (uncorrected)	-1.197	eV per atom
! calculated total energy	-3.646	eV per atom
! spin magnetization	0.0	μB per formula unit
&SYSTEM
  ibrav = 0, nat = 4, ntyp = 3
/
ATOMIC_SPECIES
Nd 144.24 Nd.upf
Sr 87.62 Sr.upf
Br 79.90 Br.upf
CELL_PARAMETERS angstrom
3.952 0.000 0.000
1.976 3.423 0.000
1.976 1.141 10.514
ATOMIC_POSITIONS crystal
Nd 0.500 0.500 0.500
Sr 0.000 0.000 0.000
Br 0.101 0.101 0.698
Br 0.899 0.899 0.302

---

Entry 2:
! CeNd3In4 | the Alexandria database | PBE | relaxed; values from VASP
! formation energy	-0.27	eV per atom
! relative energy among the computed polymorphs	182	meV/atom
! calculated total energy	-4.165	eV per atom
! spin magnetization	1.7	μB per formula unit
&SYSTEM
  ibrav = 0, nat = 8, ntyp = 3
/
ATOMIC_SPECIES
Nd 144.24 Nd.upf
In 114.82 In.upf
Ce 140.12 Ce.upf
CELL_PARAMETERS angstrom
3.549 0.000 0.000
0.000 7.313 -0.867
-1.774 -2.528 9.953
ATOMIC_POSITIONS crystal
Nd 0.783 0.783 0.566
Nd 0.217 0.217 0.434
Nd 0.000 0.500 0.000
In 0.373 0.166 0.745
In 0.627 0.421 0.255
In 0.373 0.579 0.745
In 0.627 0.834 0.255
Ce 0.500 0.000 0.000

---

Entry 3:
! Zn5CdGa6 | the Alexandria database | PBE | relaxed; values from VASP
! formation energy	0.07	eV per atom
! calculated total energy	-2.048	eV per atom
! spin magnetization	0.0	μB per formula unit
&SYSTEM
  ibrav = 0, nat = 12, ntyp = 3
/
ATOMIC_SPECIES
Zn 65.41 Zn.upf
Ga 69.72 Ga.upf
Cd 112.41 Cd.upf
CELL_PARAMETERS angstrom
4.271 2.161 2.243
1.627 6.701 0.854
-1.448 1.080 7.946
ATOMIC_POSITIONS crystal
Zn 0.846 0.500 0.307
Zn 0.345 0.000 0.310
Zn 0.154 0.500 0.693
Zn 0.500 0.500 0.000
Zn 0.655 0.000 0.690
Ga 0.729 0.745 0.000
Ga 0.065 0.748 0.370
Ga 0.935 0.252 0.630
Ga 0.435 0.748 0.630
Ga 0.565 0.252 0.370
Ga 0.271 0.255 0.000
Cd 0.000 0.000 0.000

---

Entry 4:
! VCoPd | the Alexandria database | PBE | relaxed; values from VASP
! formation energy	-0.06	eV per atom
! relative energy among the computed polymorphs	119	meV/atom
! calculated total energy	-7.196	eV per atom
! spin magnetization	0.0	μB per formula unit
&SYSTEM
  ibrav = 0, nat = 3, ntyp = 3
/
ATOMIC_SPECIES
V 50.94 V.upf
Co 58.93 Co.upf
Pd 106.42 Pd.upf
CELL_PARAMETERS angstrom
2.657 0.000 0.000
0.000 4.116 0.000
0.000 -2.058 3.565
ATOMIC_POSITIONS crystal
V 0.834 0.000 0.000
Co 0.833 0.333 0.667
Pd 0.333 0.667 0.333

---

Entry 5:
! MgTl2Te | the Alexandria database | PBE | relaxed; values from VASP
! E_form (uncorrected)	-0.121	eV per atom
! relative energy among the computed polymorphs	115	meV/atom
! calculated total energy	-2.488	eV per atom
! spin magnetization	0.0	μB per formula unit
&SYSTEM
  ibrav = 0, nat = 8, ntyp = 3
/
ATOMIC_SPECIES
Tl 204.38 Tl.upf
Mg 24.30 Mg.upf
Te 127.60 Te.upf
CELL_PARAMETERS angstrom
8.559 0.000 0.000
0.000 8.559 0.000
4.280 4.280 3.292
ATOMIC_POSITIONS crystal
Tl 0.875 0.862 0.750
Tl 0.138 0.625 0.250
Tl 0.375 0.388 0.750
Tl 0.612 0.125 0.250
Mg 0.250 0.750 0.500
Mg 0.500 0.500 0.000
Te 0.000 0.000 0.000
Te 0.750 0.250 0.500

---

Entry 6:
! ThSi2TcIr | the Alexandria database | PBE | relaxed; values from VASP
! E_form (uncorrected)	-0.927	eV per atom
! calculated total energy	-8.426	eV per atom
! spin magnetization	0.0	μB per formula unit
&SYSTEM
  ibrav = 0, nat = 5, ntyp = 4
/
ATOMIC_SPECIES
Ir 192.22 Ir.upf
Si 28.09 Si.upf
Tc 98.00 Tc.upf
Th 232.04 Th.upf
CELL_PARAMETERS angstrom
-4.137 0.600 0.709
-0.393 -4.064 1.142
3.241 2.948 3.735
ATOMIC_POSITIONS crystal
Ir 0.250 0.750 0.500
Si 0.371 0.371 0.741
Si 0.629 0.629 0.259
Tc 0.750 0.250 0.500
Th 0.000 0.000 0.000

---

Entry 7:
! CaMn2ZnPb | the Alexandria database | PBE | relaxed; values from VASP
! formation energy	0.48	eV per atom
! calculated total energy	-4.588	eV per atom
! spin magnetization	7.4	μB per formula unit
&SYSTEM
  ibrav = 0, nat = 5, ntyp = 4
/
ATOMIC_SPECIES
Pb 207.20 Pb.upf
Mn 54.94 Mn.upf
Ca 40.08 Ca.upf
Zn 65.41 Zn.upf
CELL_PARAMETERS angstrom
-2.510 -3.819 -1.485
3.302 -3.216 2.690
-2.819 0.346 3.875
ATOMIC_POSITIONS crystal
Pb 0.500 0.500 0.500
Mn 0.000 0.000 0.500
Mn 0.500 0.000 0.000
Ca 0.000 0.500 0.000
Zn 0.000 0.000 0.000

---

Entry 8:
! KHfTlS2 | the Alexandria database | PBE | relaxed; values from VASP
! E_form (uncorrected)	1.258	eV per atom
! calculated total energy	-3.077	eV per atom
! spin magnetization	0.0	μB per formula unit
&SYSTEM
  ibrav = 0, nat = 5, ntyp = 4
/
ATOMIC_SPECIES
S 32.06 S.upf
Hf 178.49 Hf.upf
Tl 204.38 Tl.upf
K 39.10 K.upf
CELL_PARAMETERS angstrom
-0.204 -5.135 -1.730
4.077 -1.181 3.025
-3.373 -1.235 4.063
ATOMIC_POSITIONS crystal
S 0.000 0.000 0.500
S 0.500 0.000 0.000
Hf 0.000 0.500 0.000
Tl 0.500 0.500 0.500
K 0.000 0.000 0.000